# 1
# Mg2PtSe GGA-PBE relaxed
data_Mg2PtSe
_chemical_formula_sum 'Mg4 Pt2 Se2'
_cell_length_a 4.089
_cell_length_b 3.536
_cell_length_c 10.331
_cell_angle_alpha 90.00
_cell_angle_beta 90.00
_cell_angle_gamma 90.00
_symmetry_space_group_name_H-M 'A m m 2'
_symmetry_Int_Tables_number 38
loop_
_symmetry_equiv_pos_as_xyz
'x,y,z'
'-x,-y,z'
'-x,y,z'
'x,-y,z'
'x,y+1/2,z+1/2'
'-x,-y+1/2,z+1/2'
'-x,y+1/2,z+1/2'
'x,-y+1/2,z+1/2'
loop_
_atom_site_label
_atom_site_type_symbol
_atom_site_fract_x
_atom_site_fract_y
_atom_site_fract_z
Mg1 Mg 0.000 0.000 0.000
Mg2 Mg 0.500 0.000 0.298
Pt1 Pt 0.000 0.000 0.742
Se1 Se 0.500 0.000 0.560
# Raw total energy, eV per atom: -3.9270
# D(E_F), states/eV/atom: 0.133

---

# 2
# MgPtSe GGA-PBE relaxed
data_MgPtSe
_chemical_formula_sum 'Mg2 Pt2 Se2'
_cell_length_a 3.733
_cell_length_b 4.772
_cell_length_c 8.500
_cell_angle_alpha 91.85
_cell_angle_beta 90.34
_cell_angle_gamma 113.01
_symmetry_space_group_name_H-M 'P -1'
_symmetry_Int_Tables_number 2
loop_
_symmetry_equiv_pos_as_xyz
'x,y,z'
'-x,-y,-z'
loop_
_atom_site_label
_atom_site_type_symbol
_atom_site_fract_x
_atom_site_fract_y
_atom_site_fract_z
Mg1 Mg 0.082 0.168 0.304
Pt1 Pt 0.205 0.407 0.599
Se1 Se 0.370 0.748 0.204
# Raw total energy, eV per atom: -4.3904
# D(E_F), states/eV/atom: 0.000

---

# 3
# Mg3PtSe GGA-PBE relaxed
data_Mg3PtSe
_chemical_formula_sum 'Mg3 Pt1 Se1'
_cell_length_a 4.981
_cell_length_b 4.981
_cell_length_c 4.981
_cell_angle_alpha 90.00
_cell_angle_beta 90.00
_cell_angle_gamma 90.00
_symmetry_space_group_name_H-M 'P m -3 m'
_symmetry_Int_Tables_number 221
_symmetry_space_group_name_Hall '-P 4 2 3'
loop_
_atom_site_label
_atom_site_type_symbol
_atom_site_fract_x
_atom_site_fract_y
_atom_site_fract_z
Mg1 Mg 0.000 0.000 0.500
Pt1 Pt 0.000 0.000 0.000
Se1 Se 0.500 0.500 0.500
# Raw total energy, eV per atom: -3.2191
# D(E_F), states/eV/atom: 0.431
# ΔE to the lowest computed polymorph, eV/atom: 0.0000

---

# 4
# MgPtSe2 GGA-PBE relaxed
data_MgPtSe2
_chemical_formula_sum 'Mg2 Pt2 Se4'
_cell_length_a 4.742
_cell_length_b 5.007
_cell_length_c 7.249
_cell_angle_alpha 90.00
_cell_angle_beta 90.00
_cell_angle_gamma 90.00
_symmetry_space_group_name_H-M 'A m m 2'
_symmetry_Int_Tables_number 38
loop_
_symmetry_equiv_pos_as_xyz
'x,y,z'
'-x,-y,z'
'-x,y,z'
'x,-y,z'
'x,y+1/2,z+1/2'
'-x,-y+1/2,z+1/2'
'-x,y+1/2,z+1/2'
'x,-y+1/2,z+1/2'
loop_
_atom_site_label
_atom_site_type_symbol
_atom_site_fract_x
_atom_site_fract_y
_atom_site_fract_z
Mg1 Mg 0.000 0.000 0.000
Pt1 Pt 0.500 0.000 0.245
Se1 Se 0.000 0.000 0.375
Se2 Se 0.500 0.000 0.838
# Raw total energy, eV per atom: -4.2121
# D(E_F), states/eV/atom: 0.254

---

# 5
# MgPtSe2 GGA-PBE relaxed
data_MgPtSe2
_chemical_formula_sum 'Mg2 Pt2 Se4'
_cell_length_a 8.399
_cell_length_b 3.789
_cell_length_c 5.777
_cell_angle_alpha 90.00
_cell_angle_beta 109.35
_cell_angle_gamma 90.00
_symmetry_space_group_name_H-M 'C 1 2/m 1'
_symmetry_Int_Tables_number 12
loop_
_symmetry_equiv_pos_as_xyz
'x,y,z'
'-x,-y,-z'
'-x,y,-z'
'x,-y,z'
'x+1/2,y+1/2,z'
'-x+1/2,-y+1/2,-z'
'-x+1/2,y+1/2,-z'
'x+1/2,-y+1/2,z'
loop_
_atom_site_label
_atom_site_type_symbol
_atom_site_fract_x
_atom_site_fract_y
_atom_site_fract_z
Mg1 Mg 0.000 0.000 0.000
Pt1 Pt 0.000 0.000 0.500
Se1 Se 0.147 0.500 0.765
# Raw total energy, eV per atom: -4.3200
# D(E_F), states/eV/atom: 0.042

---

# 6
# MgPtSe4 GGA-PBE relaxed
data_MgPtSe4
_chemical_formula_sum 'Mg4 Pt4 Se16'
_cell_length_a 7.963
_cell_length_b 7.963
_cell_length_c 7.963
_cell_angle_alpha 90.00
_cell_angle_beta 90.00
_cell_angle_gamma 90.00
_symmetry_space_group_name_H-M 'F -4 3 m'
_symmetry_Int_Tables_number 216
_symmetry_space_group_name_Hall 'F -4 2 3'
loop_
_atom_site_label
_atom_site_type_symbol
_atom_site_fract_x
_atom_site_fract_y
_atom_site_fract_z
Mg1 Mg 0.000 0.000 0.000
Pt1 Pt 0.250 0.250 0.750
Se1 Se 0.124 0.124 0.376
# Raw total energy, eV per atom: -3.0498
# D(E_F), states/eV/atom: 0.746

---

# 7
# Mg2PtSe GGA-PBE relaxed
data_Mg2PtSe
_chemical_formula_sum 'Mg2 Pt1 Se1'
_cell_length_a 3.741
_cell_length_b 3.741
_cell_length_c 5.591
_cell_angle_alpha 90.00
_cell_angle_beta 90.00
_cell_angle_gamma 90.00
_symmetry_space_group_name_H-M 'P 4 m m'
_symmetry_Int_Tables_number 99
loop_
_symmetry_equiv_pos_as_xyz
'x,y,z'
'-y,x,z'
'-x,-y,z'
'y,-x,z'
'-x,y,z'
'y,x,z'
'x,-y,z'
'-y,-x,z'
loop_
_atom_site_label
_atom_site_type_symbol
_atom_site_fract_x
_atom_site_fract_y
_atom_site_fract_z
Mg1 Mg 0.000 0.000 0.000
Mg2 Mg 0.500 0.500 0.373
Pt1 Pt 0.000 0.000 0.472
Se1 Se 0.500 0.500 0.880
# Raw total energy, eV per atom: -3.8870

---

# 8
# Mg2PtSe GGA-PBE relaxed
data_Mg2PtSe
_chemical_formula_sum 'Mg4 Pt2 Se2'
_cell_length_a 3.844
_cell_length_b 3.844
_cell_length_c 9.981
_cell_angle_alpha 90.00
_cell_angle_beta 90.00
_cell_angle_gamma 90.00
_symmetry_space_group_name_H-M 'I -4 m 2'
_symmetry_Int_Tables_number 119
_symmetry_space_group_name_Hall 'I -4 -2'
loop_
_atom_site_label
_atom_site_type_symbol
_atom_site_fract_x
_atom_site_fract_y
_atom_site_fract_z
Mg1 Mg 0.000 0.000 0.000
Mg2 Mg 0.000 0.500 0.250
Pt1 Pt 0.000 0.500 0.750
Se1 Se 0.000 0.000 0.500
# Raw total energy, eV per atom: -3.7263
# D(E_F), states/eV/atom: 0.254